# 1
A plane-wave DFT calculation with PBEsol was carried out for crystalline KAuI4O12 at its relaxed geometry.

Lattice parameters (Å, degrees): 5.6899 7.1547 7.9056 105.11 91.85 113.47
Closest atoms and distances in Å follow each position.
Sites, in units of the cell vectors:
1 K 0.2030 0.1002 0.8809  8 O 2.69-2.97
2 Au 0.4056 0.0957 0.3760  4 O 1.97-1.99
3 I 0.5007 0.7747 0.5786  3 O 1.81-1.94
4 I 0.8865 0.4140 0.2305  3 O 1.81-1.91
5 I 0.8261 0.4505 0.7380  3 O 1.82-1.90
6 I 0.5157 0.7470 0.0625  3 O 1.83-1.92
7 O 0.3382 0.7545 0.7757  1 I 1.85
8 O 0.4795 0.2975 0.6162  1 I 1.90, 1 Au 1.98
9 O 0.2535 0.8532 0.4757  1 I 1.94, 1 Au 1.99
10 O 0.8250 0.7034 0.7340  1 I 1.82
11 O 0.7545 0.0429 0.6664  1 I 1.81
12 O 0.8524 0.1515 0.1069  1 I 1.81
13 O 0.2269 0.4951 0.0123  1 I 1.83
14 O 0.6511 0.7694 0.2831  1 I 1.83
15 O 0.6997 0.4540 0.9501  1 I 1.84
16 O 0.3044 0.8982 0.1329  1 I 1.92, 1 Au 1.97
17 O 0.5368 0.3388 0.2745  1 I 1.91, 1 Au 1.99
18 O 0.0184 0.4199 0.4493  1 I 1.85

Properties
- ΔE_f (raw) (eV per atom) = -0.48
- crystal system = triclinic

# 2
A plane-wave DFT calculation with PBEsol was carried out for crystalline KAuIO2 at its relaxed geometry.

Lattice parameters (Å, degrees): 4.4098 4.4098 7.0664 90.00 90.00 90.00
Closest atoms and distances in Å follow each position.
Sites, in units of the cell vectors:
1 I 0.0000 0.0000 0.5000  4 Au 3.12
2 K 0.0000 0.0000 0.0000  4 O 2.20
3 Au 0.5000 0.5000 0.5000  4 I 3.12
4 O 0.0000 0.5000 0.0000  2 K 2.20
5 O 0.5000 0.0000 0.0000  2 K 2.20

Properties
- ΔE_f (raw) (eV per atom) = 0.83
- crystal system = tetragonal

# 3
A plane-wave DFT calculation with PBEsol was carried out for crystalline K2SbAuI6 at its relaxed geometry.

Lattice parameters (Å, degrees): 8.2727 8.2727 8.2727 60.00 60.00 60.00
Closest atoms and distances in Å follow each position.
Sites, in units of the cell vectors:
1 K 0.7500 0.7500 0.7500  12 I 4.14
2 K 0.2500 0.2500 0.2500  12 I 4.14
3 Sb 0.0000 0.0000 0.0000  6 I 2.98
4 Au 0.5000 0.5000 0.5000  6 I 2.87
5 I 0.7452 0.2548 0.2548  1 Au 2.87, 1 Sb 2.98
6 I 0.7452 0.7452 0.2548  1 Au 2.87, 1 Sb 2.98
7 I 0.2548 0.7452 0.7452  1 Au 2.87, 1 Sb 2.98
8 I 0.7452 0.2548 0.7452  1 Au 2.87, 1 Sb 2.98
9 I 0.2548 0.7452 0.2548  1 Au 2.87, 1 Sb 2.98
10 I 0.2548 0.2548 0.7452  1 Au 2.87, 1 Sb 2.98

Properties
- ΔE_f (raw) (eV per atom) = -0.65
- crystal system = cubic

# 4
A plane-wave DFT calculation with PBEsol was carried out for crystalline K2TcAuI at its relaxed geometry.

Lattice parameters (Å, degrees): 5.4492 6.4374 6.4374 90.00 90.00 90.00
Closest atoms and distances in Å follow each position.
Sites, in units of the cell vectors:
1 I 0.0000 0.0000 0.0000  2 Au 2.72
2 K 0.0000 0.0000 0.5000  2 I 3.22
3 K 0.0000 0.5000 0.0000  2 I 3.22
4 Au 0.5000 0.0000 0.0000  2 I 2.72
5 Tc 0.5000 0.5000 0.5000  8 K 4.22, 4 Au 4.55

Properties
- ΔE_f (raw) (eV per atom) = 1.06
- crystal system = tetragonal

Here are the calculated final energy numbers, same order: -83.76, -13.16, -27.85, -13.93 (eV/f.u.).